The following is a PBE calculation of a relaxed structure of HfHgB2Au, from Alexandria.

Lattice parameters (Å, degrees): 4.468 4.468 5.535 90.00 90.00 90.00
Positions (direct):
Hf  0.000  0.000  0.000
Hg  0.000  0.000  0.500
B  0.000  0.500  0.000
B  0.500  0.000  0.000
Au  0.500  0.500  0.500

Energy in eV per atom: -3.81
ΔE_f in meV per atom: 1567